(1)
VASP calculation (PBE-GGA) on YCu2P after structural relaxation.

Calculated values
Its symmetry is P4/nmm, No. 129.

Cell: 4.590 4.590 6.412 Å, 90.00 90.00 90.00°
Fractional positions:
Cu1 0.500 0.500 0.000
Cu2 0.500 0.000 0.762
Cu3 0.000 0.500 0.238
Cu4 0.000 0.000 0.000
Y1 0.000 0.500 0.740
Y2 0.500 0.000 0.260
P1 0.500 0.500 0.500
P2 0.000 0.000 0.500



(2)
VASP calculation (PBE-GGA) on MgPdPt3 after structural relaxation.

Calculated values
As for the energy relative to the lowest polymorph listed for this composition: 347 meV/atom. Its symmetry is I4mm, No. 107.

Cell: 3.755 3.755 7.049 Å, 105.45 105.45 90.00°
Fractional positions:
Pt1 0.432 0.432 0.865
Pt2 0.280 0.780 0.561
Pt3 0.780 0.280 0.561
Mg1 0.627 0.627 0.255
Pd1 0.970 0.970 0.939



Here are the calculated DFT formation energy numbers, same order: -0.2891, -0.0822 (eV per atom).
Here are the calculated E_tot numbers, same order: -5.3057, -5.0642 (eV per atom).
Here are the calculated mass density numbers, same order: 6.1, 12.9 (g/cm3).